Fe2SeCl4, optimized geometry, DFT PBE-GGA; ΔE_f (raw) = 0.169 eV/atom; theoretical density = 2.64 Mg/m³; D(E_F) = 7.8 states/eV/cell; raw total energy = -3.80 eV per atom
1.0
5.159 0.000 0.000
0.000 5.159 0.000
2.580 2.580 7.867
Cl Se Fe
4 1 2
Direct
0.000 0.500 0.000
0.289 0.289 0.422
0.711 0.711 0.578
0.500 0.000 0.000
0.000 0.000 0.000
0.425 0.425 0.150
0.575 0.575 0.850

Sc2CuNi2, optimized geometry, DFT PBE-GGA; theoretical density = 5.45 Mg/m³; D(E_F) = 1.9 states/eV/cell; E_form = -189 meV per atom; raw total energy = -5.85 eV per atom
1.0
3.403 0.000 0.000
0.000 3.403 0.000
1.702 1.702 7.127
Sc Ni Cu
2 2 1
Direct
0.611 0.611 0.778
0.389 0.389 0.222
0.250 0.750 0.500
0.750 0.250 0.500
0.000 0.000 0.000

TiCrCoNi, optimized geometry, DFT PBE-GGA; theoretical density = 7.08 Mg/m³; D(E_F) = 3.7 states/eV/cell; E_form = -113 meV per atom; raw total energy = -7.71 eV per atom
1.0
4.162 0.000 0.000
2.081 3.605 0.000
2.081 1.202 3.398
Ni Co Ti Cr
1 1 1 1
Direct
0.500 0.500 0.500
0.000 0.000 0.000
0.250 0.250 0.250
0.750 0.750 0.750

La4As3, optimized geometry, DFT PBE-GGA; theoretical density = 6.39 Mg/m³; D(E_F) = 4.7 states/eV/cell; E_form = -1170 meV per atom; raw total energy = -5.98 eV per atom
1.0
-0.616 3.053 4.129
2.364 -1.162 4.451
7.536 5.359 0.402
As La
3 4
Direct
0.761 0.761 0.717
0.000 0.000 0.000
0.239 0.239 0.283
0.119 0.119 0.644
0.370 0.370 0.891
0.881 0.881 0.356
0.630 0.630 0.109